1.
Density functional theory data (GGA-PBE) for a geometry-optimized Ca4PtAu structure.

Cell and atoms, written as CIF:
```
data_Ca4PtAu
_space_group_name_H-M_alt 'P 4/m m m'
_space_group_IT_number 123
_space_group_name_Hall '-P 4 2'
_cell_length_a 5.0117
_cell_length_b 5.0117
_cell_length_c 7.1439
_cell_angle_alpha 90.00
_cell_angle_beta 90.00
_cell_angle_gamma 90.00
loop_
_atom_site_label
_atom_site_type_symbol
_atom_site_fract_x
_atom_site_fract_y
_atom_site_fract_z
_atom_site_occupancy
Ca1 Ca 0.0000 0.5000 0.2413 1
Pt1 Pt 0.0000 0.0000 0.0000 1
Au1 Au 0.5000 0.5000 0.5000 1
```

Summary:
**Formation energy from the elements**: -671 meV/atom
**VASP energy**: -21.35 eV per cell
**Crystal system**: tetragonal
**Total magnetic moment**: 0.000 μB per cell
**Distance to the lowest polymorph of the same formula**: 15 meV per atom


2.
Density functional theory data (GGA-PBE) for a geometry-optimized BaPa2SiO8 structure.

Cell and atoms, written as CIF:
```
data_BaPa2SiO8
_space_group_name_H-M_alt 'C m m m'
_space_group_IT_number 65
_space_group_name_Hall '-C 2 2'
_cell_length_a 6.7548
_cell_length_b 7.6774
_cell_length_c 7.1053
_cell_angle_alpha 90.00
_cell_angle_beta 90.00
_cell_angle_gamma 90.00
loop_
_atom_site_label
_atom_site_type_symbol
_atom_site_fract_x
_atom_site_fract_y
_atom_site_fract_z
_atom_site_occupancy
Ba1 Ba 0.0000 0.0000 0.0000 1
Pa1 Pa 0.0000 0.5000 0.2631 1
Si1 Si 0.0000 0.0000 0.5000 1
O1 O 0.0000 0.3207 0.5000 1
O2 O 0.0000 0.3383 0.0000 1
O3 O 0.1813 0.0000 0.3257 1
```

Summary:
**VASP energy**: -204.76 eV per cell
**Formation energy from raw total energies**: -3.03 eV per atom
**Crystal system**: orthorhombic
**Total magnetic moment**: 0.000 μB per cell


3.
Density functional theory data (GGA-PBE) for a geometry-optimized BaZrRe2 structure.

Cell and atoms, written as CIF:
```
data_BaZrRe2
_space_group_name_H-M_alt 'I m m 2'
_space_group_IT_number 44
_cell_length_a 3.7943
_cell_length_b 4.6473
_cell_length_c 13.1113
_cell_angle_alpha 90.00
_cell_angle_beta 90.00
_cell_angle_gamma 90.00
loop_
_space_group_symop_operation_xyz
'x,y,z'
'-x,-y,z'
'-x,y,z'
'x,-y,z'
'x+1/2,y+1/2,z+1/2'
'-x+1/2,-y+1/2,z+1/2'
'-x+1/2,y+1/2,z+1/2'
'x+1/2,-y+1/2,z+1/2'
loop_
_atom_site_label
_atom_site_type_symbol
_atom_site_fract_x
_atom_site_fract_y
_atom_site_fract_z
_atom_site_occupancy
Ba1 Ba 0.0000 0.0000 0.0000 1
Zr1 Zr 0.0000 0.5000 0.7597 1
Re1 Re 0.0000 0.0000 0.6412 1
Re2 Re 0.0000 0.5000 0.2479 1
```

Summary:
**Formation energy from the elements**: 618 meV/atom
**VASP energy**: -65.79 eV per cell
**Crystal system**: orthorhombic
**Total magnetic moment**: 0.000 μB per cell
**Distance to the lowest polymorph of the same formula**: 97 meV per atom